(1)
First-principles (GGA-PBEsol) data for crystalline KNbPS2 at its relaxed geometry, as listed in Alexandria.

Values from the calculation:
The formation energy (no corrections) is -0.6002 eV per atom. The crystal system is tetragonal. The value obtained for the density of states at the Fermi level is 0.62 states/eV/atom.

a b c (Å): 4.839 4.839 4.855
angles (deg): 90.00 90.00 90.00
Space group P4/mmm (No. 123)
One atom of each set of equivalent atoms:
K (0.000, 0.000, 0.000)
Nb (0.500, 0.500, 0.500)
P (0.500, 0.500, 0.000)
S (0.000, 0.500, 0.500)

=====

(2)
First-principles (GGA-PBEsol) data for crystalline Ta2PtCl at its relaxed geometry, as listed in Alexandria.

Values from the calculation:
The formation energy (no corrections) is -0.1583 eV per atom. The crystal system is tetragonal. The value obtained for the density of states at the Fermi level is 0.53 states/eV/atom.

a b c (Å): 2.950 2.950 7.055
angles (deg): 90.00 90.00 90.00
Space group P4/mmm (No. 123)
One atom of each set of equivalent atoms:
Ta (0.000, 0.000, 0.236)
Pt (0.500, 0.500, 0.500)
Cl (0.500, 0.500, 0.000)

=====

(3)
First-principles (GGA-PBEsol) data for crystalline HgSbRh2 at its relaxed geometry, as listed in Alexandria.

Values from the calculation:
The formation energy (no corrections) is 0.2640 eV per atom. The crystal system is trigonal. The value obtained for the density of states at the Fermi level is 1.50 states/eV/atom.

a b c (Å): 3.0330 3.0330 27.3486
angles (deg): 90.00 90.00 120.00
Space group R3m (No. 160, hexagonal axes)
One atom of each set of equivalent atoms:
Hg (0.0000, 0.0000, 0.0000)
Sb (0.0000, 0.0000, 0.2276)
Rh (0.0000, 0.0000, 0.4879)
Rh (0.0000, 0.0000, 0.7462)